No. 1
VASP calculation (PBE) on an optimized crystal structure of In2Si.

a = 5.259 Å, b = 3.677 Å, c = 7.652 Å
α = 90.00°, β = 99.12°, γ = 90.00°
Atoms (fractional coordinates):
Si 0.602 0.250 0.442
In 0.054 0.250 0.706
In 0.946 0.750 0.294
Si 0.398 0.750 0.558
In 0.323 0.250 0.100
In 0.677 0.750 0.900

Summary:
The energy relative to the elements, uncorrected comes out at 17 kJ/mol of atoms. Its energy above the lowest structure with this stoichiometry is 0 meV/atom. The final energy is -3.459 eV/atom.

***

No. 2
VASP calculation (PBE) on an optimized crystal structure of In3Si.

a = 5.949 Å, b = 5.949 Å, c = 5.949 Å
α = 142.08°, β = 130.22°, γ = 64.24°
Atoms (fractional coordinates):
In 0.283 0.283 0.000
In 0.000 0.500 0.500
Si 0.500 0.000 0.500
In 0.717 0.717 0.000

Summary:
The energy relative to the elements, uncorrected comes out at 26 kJ/mol of atoms. The final energy is -3.138 eV/atom.

***

No. 3
VASP calculation (PBE) on an optimized crystal structure of InSi4.

a = 5.044 Å, b = 5.044 Å, c = 5.044 Å
α = 90.00°, β = 90.00°, γ = 90.00°
Atoms (fractional coordinates):
Si 0.500 0.500 0.000
Si 0.000 0.000 0.000
In 0.500 0.500 0.500
Si 0.500 0.000 0.500
Si 0.000 0.500 0.500

Summary:
The energy relative to the elements, uncorrected comes out at 151 kJ/mol of atoms. Its energy above the lowest structure with this stoichiometry is 1290 meV/atom. The final energy is -3.323 eV/atom.

***

No. 4
VASP calculation (PBE) on an optimized crystal structure of In4Si.

a = 5.680 Å, b = 5.680 Å, c = 5.680 Å
α = 109.47°, β = 109.47°, γ = 109.47°
Atoms (fractional coordinates):
Si 0.000 0.000 0.000
In 0.000 0.500 0.000
In 0.500 0.000 0.000
In 0.500 0.500 0.500
In 0.000 0.000 0.500

Summary:
The energy relative to the elements, uncorrected comes out at 29 kJ/mol of atoms. Its energy above the lowest structure with this stoichiometry is 0 meV/atom. The final energy is -2.975 eV/atom.

***

No. 5
VASP calculation (PBE) on an optimized crystal structure of InSi.

a = 11.134 Å, b = 6.257 Å, c = 9.934 Å
α = 90.00°, β = 90.00°, γ = 90.00°
Atoms (fractional coordinates):
In 0.250 0.750 0.032
In 0.250 0.250 0.968
In 0.250 0.250 0.532
In 0.000 0.000 0.782
In 0.750 0.250 0.468
In 0.750 0.750 0.532
In 0.500 0.500 0.782
Si 0.750 0.442 0.750
Si 0.250 0.558 0.750
Si 0.250 0.058 0.250
In 0.750 0.750 0.968
In 0.000 0.500 0.718
In 0.000 0.500 0.282
Si 0.500 0.692 0.500
In 0.000 0.000 0.218
Si 0.750 0.058 0.750
In 0.250 0.750 0.468
Si 0.000 0.808 0.500
Si 0.000 0.308 0.000
Si 0.500 0.192 0.000
Si 0.500 0.808 0.000
Si 0.750 0.942 0.250
Si 0.750 0.558 0.250
In 0.750 0.250 0.032
In 0.500 0.000 0.718
Si 0.250 0.442 0.250
Si 0.250 0.942 0.750
Si 0.500 0.308 0.500
Si 0.000 0.692 0.000
In 0.500 0.000 0.282
In 0.500 0.500 0.218
Si 0.000 0.192 0.500

Summary:
The energy relative to the elements, uncorrected comes out at 32 kJ/mol of atoms. The final energy is -3.751 eV/atom.

***

No. 6
VASP calculation (PBE) on an optimized crystal structure of InSi.

a = 3.738 Å, b = 3.738 Å, c = 7.694 Å
α = 90.00°, β = 89.99°, γ = 120.00°
Atoms (fractional coordinates):
In 0.667 0.333 0.161
Si 0.667 0.333 0.568
In 0.333 0.667 0.839
Si 0.333 0.667 0.432

Summary:
The energy relative to the elements, uncorrected comes out at 18 kJ/mol of atoms. The final energy is -3.890 eV/atom.

***

No. 7
VASP calculation (PBE) on an optimized crystal structure of In5Si.

a = 6.134 Å, b = 6.134 Å, c = 6.134 Å
α = 60.00°, β = 60.00°, γ = 60.00°
Atoms (fractional coordinates):
In 0.625 0.625 0.625
In 0.625 0.124 0.625
Si 0.000 0.000 0.000
In 0.250 0.250 0.250
In 0.625 0.625 0.124
In 0.124 0.625 0.625

Summary:
The energy relative to the elements, uncorrected comes out at 38 kJ/mol of atoms. Its energy above the lowest structure with this stoichiometry is 233 meV/atom. The final energy is -2.794 eV/atom.

***

No. 8
VASP calculation (PBE) on an optimized crystal structure of InSi4.

a = 5.448 Å, b = 5.448 Å, c = 5.448 Å
α = 130.09°, β = 130.09°, γ = 73.27°
Atoms (fractional coordinates):
Si 0.250 0.750 0.500
Si 0.363 0.363 0.000
Si 0.750 0.250 0.500
Si 0.637 0.637 0.000
In 0.000 0.000 0.000

Summary:
The energy relative to the elements, uncorrected comes out at 26 kJ/mol of atoms. Its energy above the lowest structure with this stoichiometry is 0 meV/atom. The final energy is -4.613 eV/atom.

***

No. 9
VASP calculation (PBE) on an optimized crystal structure of In7Si6.

a = 8.362 Å, b = 8.362 Å, c = 8.362 Å
α = 52.23°, β = 52.23°, γ = 52.23°
Atoms (fractional coordinates):
Si 0.946 0.946 0.946
Si 0.840 0.840 0.840
Si 0.160 0.160 0.160
In 0.500 0.500 0.500
In 0.406 0.948 0.406
In 0.948 0.406 0.406
Si 0.656 0.656 0.656
In 0.594 0.594 0.052
In 0.406 0.406 0.948
In 0.052 0.594 0.594
In 0.594 0.052 0.594
Si 0.054 0.054 0.054
Si 0.344 0.344 0.344

Summary:
The energy relative to the elements, uncorrected comes out at 54 kJ/mol of atoms. The final energy is -3.419 eV/atom.

***

No. 10
VASP calculation (PBE) on an optimized crystal structure of In5Si.

a = 9.115 Å, b = 9.115 Å, c = 5.568 Å
α = 90.00°, β = 90.00°, γ = 160.55°
Atoms (fractional coordinates):
In 0.346 0.654 0.000
In 0.751 0.249 0.500
In 0.670 0.330 0.000
In 0.018 0.982 0.000
In 0.452 0.548 0.500
Si 0.097 0.903 0.500

Summary:
The energy relative to the elements, uncorrected comes out at 19 kJ/mol of atoms. Its energy above the lowest structure with this stoichiometry is 36 meV/atom. The final energy is -2.991 eV/atom.

***

Which formula does entry 1 have?
In2Si

***

Among the records above, which one has the highest final energy?
number 7

***

Please write out number 7 again, unchanged.
VASP calculation (PBE) on an optimized crystal structure of In5Si.

a = 6.134 Å, b = 6.134 Å, c = 6.134 Å
α = 60.00°, β = 60.00°, γ = 60.00°
Atoms (fractional coordinates):
In 0.625 0.625 0.625
In 0.625 0.124 0.625
Si 0.000 0.000 0.000
In 0.250 0.250 0.250
In 0.625 0.625 0.124
In 0.124 0.625 0.625

Summary:
The energy relative to the elements, uncorrected comes out at 38 kJ/mol of atoms. Its energy above the lowest structure with this stoichiometry is 233 meV/atom. The final energy is -2.794 eV/atom.